DFT (GGA-PBE) results for a geometry-optimized PmZn3Pt3 structure.

```
14
Lattice="4.350 0.000 0.000 0.000 8.152 0.000 0.000 -4.076 7.059" Properties=species:S:1:pos:R:3 pbc="T T T"
Zn 3.263 -0.834 1.593
Pt 1.088 -0.907 6.698
Pt 3.263 4.982 0.362
Pt 1.088 -1.271 2.925
Pm 3.263 0.000 4.706
Zn 1.088 0.962 1.519
Pt 1.088 2.178 4.496
Zn 3.263 -2.279 6.986
Zn 3.263 3.114 5.541
Zn 1.088 6.355 0.074
Zn 1.088 4.910 5.467
Pt 3.263 1.898 2.564
Pt 3.263 5.347 4.134
Pm 1.088 4.076 2.353
```

## Properties
ΔE_f ... -0.600 eV/atom
Magnetization ... 0.00 μB per cell
Energy ... -61.79 eV per cell
Space group ... P6_3/m